! Ca2CdIn2Pt5 (PBE, relaxed); values from VASP
! **Crystal system**: tetragonal
! **Total energy**: -4.6062 eV/atom
&SYSTEM
  ibrav = 0, nat = 20, ntyp = 4
/
ATOMIC_SPECIES
Ca 40.08 Ca.upf
Cd 112.41 Cd.upf
In 114.82 In.upf
Pt 195.08 Pt.upf
CELL_PARAMETERS angstrom
10.1630 0.0000 0.0000
0.0000 10.1630 0.0000
0.0000 0.0000 3.8942
ATOMIC_POSITIONS crystal
Ca 0.1711 0.3289 0.0000
Ca 0.3289 0.8289 0.0000
Ca 0.6711 0.1711 0.0000
Ca 0.8289 0.6711 0.0000
Cd 0.0000 0.0000 0.0000
Cd 0.5000 0.5000 0.0000
In 0.1287 0.6287 0.0000
In 0.3713 0.1287 0.0000
In 0.6287 0.8713 0.0000
In 0.8713 0.3713 0.0000
Pt 0.0000 0.5000 0.5000
Pt 0.0604 0.8037 0.5000
Pt 0.1963 0.0604 0.5000
Pt 0.3037 0.5604 0.5000
Pt 0.4396 0.3037 0.5000
Pt 0.5000 0.0000 0.5000
Pt 0.5604 0.6963 0.5000
Pt 0.6963 0.4396 0.5000
Pt 0.8037 0.9396 0.5000
Pt 0.9396 0.1963 0.5000